The following is a GGA-PBE calculation of a relaxed Ac8Rh3Br3O crystal, from Alexandria via LeMat-Bulk.

Computed properties:
space-group type	No. 12
DFT total energy	-5.48	eV/atom
energy relative to the elements, uncorrected	-1.16	eV per atom

Unit cell a=8.516 b=8.516 c=9.401 alpha=115.42 beta=115.42 gamma=62.50
Sites, in units of the cell vectors:
Ac1 0.213 0.744 0.709
Ac2 0.231 0.231 0.696
Ac3 0.256 0.787 0.291
Ac4 0.303 0.303 0.329
Ac5 0.697 0.697 0.671
Ac6 0.744 0.213 0.709
Ac7 0.769 0.769 0.304
Ac8 0.787 0.256 0.291
Rh1 0.000 0.000 0.500
Rh2 0.000 0.500 0.500
Rh3 0.500 0.000 0.500
Br1 0.000 0.500 0.000
Br2 0.500 0.000 0.000
Br3 0.500 0.500 0.000
O1 0.500 0.500 0.500

=====

The following is a GGA-PBE calculation of a relaxed SmTm3Sc4 crystal, from Alexandria via LeMat-Bulk.

Computed properties:
space-group type	No. 31
DFT total energy	-5.41	eV/atom
DFT formation energy	0.024	eV/atom

Unit cell a=10.747 b=6.920 c=5.980 alpha=90.00 beta=90.00 gamma=90.00
Sites, in units of the cell vectors:
Sm1 0.000 0.133 0.000
Sm2 0.500 0.867 0.500
Tm1 0.000 0.867 0.498
Tm2 0.249 0.867 0.842
Tm3 0.251 0.133 0.342
Tm4 0.500 0.133 0.998
Tm5 0.749 0.133 0.342
Tm6 0.751 0.867 0.842
Sc1 0.000 0.383 0.507
Sc2 0.000 0.618 0.006
Sc3 0.248 0.617 0.335
Sc4 0.252 0.383 0.835
Sc5 0.500 0.382 0.506
Sc6 0.500 0.617 0.007
Sc7 0.748 0.383 0.835
Sc8 0.752 0.617 0.335

=====

The following is a GGA-PBE calculation of a relaxed MnInIr2W crystal, from Alexandria via LeMat-Bulk.

Computed properties:
space-group type	No. 123
DFT total energy	-7.24	eV/atom
DFT formation energy	1.278	eV/atom

Unit cell a=4.815 b=4.815 c=4.600 alpha=90.00 beta=90.00 gamma=90.00
Sites, in units of the cell vectors:
Mn1 0.000 0.000 0.000
In1 0.500 0.500 0.000
Ir1 0.000 0.500 0.500
Ir2 0.500 0.000 0.500
W1 0.000 0.000 0.500

=====

The following is a GGA-PBE calculation of a relaxed Mg7In2Pd crystal, from Alexandria via LeMat-Bulk.

Computed properties:
space-group type	No. 15
DFT total energy	-2.40	eV/atom
DFT formation energy	-0.216	eV/atom

Unit cell a=8.362 b=8.362 c=9.516 alpha=123.83 beta=123.83 gamma=60.68
Sites, in units of the cell vectors:
Mg1 0.115 0.627 0.214
Mg2 0.174 0.826 0.750
Mg3 0.184 0.370 0.469
Mg4 0.276 0.519 0.890
Mg5 0.370 0.184 0.969
Mg6 0.373 0.885 0.286
Mg7 0.481 0.724 0.610
Mg8 0.519 0.276 0.390
Mg9 0.627 0.115 0.714
Mg10 0.630 0.816 0.031
Mg11 0.724 0.481 0.110
Mg12 0.816 0.630 0.531
Mg13 0.826 0.174 0.250
Mg14 0.885 0.373 0.786
In1 0.100 0.166 0.075
In2 0.166 0.100 0.575
In3 0.834 0.900 0.425
In4 0.900 0.834 0.925
Pd1 0.496 0.504 0.250
Pd2 0.504 0.496 0.750